! CsTlF3 (PBEsol, optimized geometry); values from VASP
! Magnetic moment (μB/atom): 0.00
! E (Ha/atom): -0.151
! Density of states at the Fermi level (states/eV/f.u.): 0.00
! Uncorrected formation energy (eV/atom): -2.250
&SYSTEM
  ibrav = 0, nat = 10, ntyp = 3
/
ATOMIC_SPECIES
Cs 132.91 Cs.upf
Tl 204.38 Tl.upf
F 19.00 F.upf
CELL_PARAMETERS angstrom
6.725 0.000 0.000
3.363 5.824 0.000
3.363 1.941 5.491
ATOMIC_POSITIONS crystal
Cs 0.250 0.250 0.250
Cs 0.750 0.750 0.750
Tl 0.000 0.000 0.000
Tl 0.500 0.500 0.500
F 0.271 0.729 0.271
F 0.271 0.271 0.729
F 0.729 0.729 0.271
F 0.729 0.271 0.271
F 0.271 0.729 0.729
F 0.729 0.271 0.729